(1)
Cu2ReTc SCAN single point on PBEsol structure; energy relative to the lowest polymorph listed for this composition = 0.0 meV/atom; V = 52 Å³ per cell; DFT formation energy = 0.282 eV per atom
1.0
2.5506 0.0000 0.0000
0.0000 4.7248 0.0424
0.0000 -2.0209 4.2710
Cu Re Tc
2 1 1
direct
0.0000 0.5000 0.0000
0.0000 0.0000 0.5000
0.5000 0.0000 0.0000
0.5000 0.5000 0.5000

(2)
Cu2ReTc SCAN single point on PBEsol structure; energy relative to the lowest polymorph listed for this composition = 2.5 meV/atom; V = 52 Å³ per cell; DFT formation energy = 0.285 eV per atom
1.0
-0.3838 2.1374 -2.8561
-2.3070 -2.3398 -1.4410
-1.6977 1.9826 3.9655
Cu Re Tc
2 1 1
direct
0.7500 0.2500 0.5000
0.2500 0.7500 0.5000
0.0000 0.0000 0.0000
0.5000 0.5000 0.0000

(3)
Cu2ReTe SCAN single point on PBEsol structure; energy relative to the elements, uncorrected = 0.527 eV/atom; V = 58 Å³ per cell
1.0
-0.8423 -3.0951 2.0992
2.5053 -2.0646 -2.0389
2.0517 3.5392 2.5411
Cu Re Te
2 1 1
direct
0.0000 0.0000 0.0000
0.7500 0.2500 0.5000
0.5000 0.5000 0.0000
0.2500 0.7500 0.5000

(4)
CuReTe2 SCAN single point on PBEsol structure; energy relative to the elements, uncorrected = 0.623 eV/atom; V = 73 Å³ per cell
1.0
3.2214 0.0000 0.0000
0.0000 3.2214 0.0000
0.0000 0.0000 7.0646
Cu Re Te
1 1 2
direct
0.5000 0.5000 0.0000
0.5000 0.5000 0.5000
0.0000 0.0000 0.7400
0.0000 0.0000 0.2600

(5)
Cu2ReTe SCAN single point on PBEsol structure; energy relative to the elements, uncorrected = 0.444 eV/atom; V = 60 Å³ per cell
1.0
-0.5186 -2.3271 2.2384
0.1870 -2.2849 -2.3322
5.5088 -0.4133 0.8466
Cu Re Te
2 1 1
direct
0.0000 0.0000 0.0378
0.5000 0.5000 0.2262
0.0000 0.0000 0.4957
0.5000 0.5000 0.7404

(6)
Ti3CuRe SCAN single point on PBEsol structure; V = 86 Å³ per cell; DFT formation energy = 0.907 eV per atom
1.0
-0.9892 2.9774 3.0972
-1.5719 -3.2087 2.5825
3.9983 -0.5248 1.7815
Re Cu Ti
1 1 3
direct
0.5000 0.5000 0.5000
0.0000 0.0000 0.0000
0.0000 0.5000 0.0000
0.0000 0.0000 0.5000
0.5000 0.0000 0.0000